Record 1
Here is InPtF2 after structural relaxation from Alexandria via LeMat-Bulk. Energies are from PBE.

Calculated values
The energy above the most stable polymorph in this dataset is 126.9 meV per atom. The crystal system is tetragonal. For the density of states at the Fermi level, the calculation gives 3.40 states/eV per cell. The value obtained for the volume is 123.0 Å³ per cell. For the size of the total moment, the calculation gives 0.0 μB/cell.

Cell: 3.937 3.937 8.409 Å, 76.46 76.46 90.00°
Sites, in units of the cell vectors:
F1 0.632 0.125 0.250
F2 0.118 0.625 0.250
F3 0.375 0.368 0.750
F4 0.875 0.882 0.750
Pt1 0.000 0.000 0.000
Pt2 0.750 0.250 0.500
In1 0.500 0.500 0.000
In2 0.250 0.750 0.500


Record 2
Here is NdAgPdAu after structural relaxation from Alexandria via LeMat-Bulk. Energies are from PBE.

Calculated values
The crystal system is cubic. The value obtained for the formation energy is -0.524 eV/atom. For the density of states at the Fermi level, the calculation gives 2.52 states/eV per cell. The value obtained for the volume is 84.7 Å³ per cell. For the size of the total moment, the calculation gives 0.0 μB/cell.

Cell: 4.930 4.930 4.930 Å, 60.00 60.00 60.00°
Sites, in units of the cell vectors:
Nd1 0.750 0.750 0.750
Au1 0.500 0.500 0.500
Pd1 0.000 0.000 0.000
Ag1 0.250 0.250 0.250


Record 3
Here is Zn22Cu after structural relaxation from Alexandria via LeMat-Bulk. Energies are from PBE.

Calculated values
The crystal system is cubic. The value obtained for the formation energy is 0.082 eV/atom. For the density of states at the Fermi level, the calculation gives 13.40 states/eV per cell. The value obtained for the volume is 708.2 Å³ per cell. For the size of the total moment, the calculation gives 0.0 μB/cell.

Cell: 10.005 10.005 10.005 Å, 60.00 60.00 60.00°
Sites, in units of the cell vectors:
Cu1 0.875 0.875 0.375
Cu2 0.125 0.125 0.625
Zn1 0.194 0.682 0.442
Zn2 0.942 0.682 0.694
Zn3 0.682 0.194 0.182
Zn4 0.682 0.942 0.182
Zn5 0.682 0.194 0.442
Zn6 0.682 0.942 0.694
Zn7 0.942 0.682 0.182
Zn8 0.194 0.682 0.182
Zn9 0.682 0.682 0.442
Zn10 0.682 0.682 0.694
Zn11 0.194 0.942 0.182
Zn12 0.942 0.194 0.182
Zn13 0.058 0.318 0.306
Zn14 0.806 0.318 0.558
Zn15 0.318 0.806 0.818
Zn16 0.318 0.058 0.818
Zn17 0.058 0.806 0.818
Zn18 0.806 0.058 0.818
Zn19 0.318 0.318 0.558
Zn20 0.318 0.318 0.306
Zn21 0.058 0.318 0.818
Zn22 0.806 0.318 0.818
Zn23 0.318 0.058 0.306
Zn24 0.318 0.806 0.558
Zn25 0.516 0.234 0.734
Zn26 0.234 0.516 0.016
Zn27 0.516 0.516 0.734
Zn28 0.234 0.234 0.016
Zn29 0.234 0.516 0.734
Zn30 0.516 0.234 0.016
Zn31 0.766 0.766 0.984
Zn32 0.484 0.484 0.266
Zn33 0.766 0.484 0.984
Zn34 0.484 0.766 0.266
Zn35 0.766 0.484 0.266
Zn36 0.484 0.766 0.984
Zn37 0.000 0.000 0.000
Zn38 0.500 0.000 0.500
Zn39 0.000 0.000 0.500
Zn40 0.000 0.500 0.500
Zn41 0.500 0.500 0.500
Zn42 0.000 0.500 0.000
Zn43 0.500 0.500 0.000
Zn44 0.500 0.000 0.000


Record 4
Here is MgTlRe4 after structural relaxation from Alexandria via LeMat-Bulk. Energies are from PBE.

Calculated values
The crystal system is cubic. The value obtained for the formation energy is 0.570 eV/atom. For the density of states at the Fermi level, the calculation gives 3.52 states/eV per cell. The value obtained for the volume is 105.5 Å³ per cell. For the size of the total moment, the calculation gives 0.0 μB/cell.

Cell: 5.303 5.303 5.303 Å, 60.00 60.00 60.00°
Sites, in units of the cell vectors:
Mg1 0.000 0.000 0.000
Tl1 0.750 0.750 0.750
Re1 0.876 0.375 0.375
Re2 0.375 0.375 0.876
Re3 0.375 0.876 0.375
Re4 0.375 0.375 0.375


Record 5
Here is Y8TlRu2 after structural relaxation from Alexandria via LeMat-Bulk. Energies are from PBE.

Calculated values
The crystal system is monoclinic. The value obtained for the formation energy is -0.221 eV/atom. For the density of states at the Fermi level, the calculation gives 10.51 states/eV per cell. The value obtained for the volume is 309.2 Å³ per cell. For the size of the total moment, the calculation gives 0.0 μB/cell.

Cell: 5.471 7.937 7.937 Å, 112.64 97.48 97.48°
Sites, in units of the cell vectors:
Y1 0.920 0.935 0.669
Y2 0.920 0.669 0.935
Y3 0.301 0.616 0.616
Y4 0.500 0.753 0.247
Y5 0.500 0.247 0.753
Y6 0.699 0.384 0.384
Y7 0.080 0.331 0.065
Y8 0.080 0.065 0.331
Tl1 0.500 0.000 0.000
Ru1 0.000 0.313 0.687
Ru2 0.000 0.687 0.313


Record 6
Here is Cs4La3PbO8 after structural relaxation from Alexandria via LeMat-Bulk. Energies are from PBE.

Calculated values
The crystal system is trigonal. For the density of states at the Fermi level, the calculation gives 4.01 states/eV per cell. Its electronic total energy is -0.221 Ha/atom. The value obtained for the volume is 342.0 Å³ per cell. For the size of the total moment, the calculation gives 0.0 μB/cell.

Cell: 7.534 8.205 7.534 Å, 117.33 120.00 90.00°
Sites, in units of the cell vectors:
Cs1 0.500 0.000 0.000
Cs2 0.500 0.000 0.500
Cs3 0.000 0.000 0.000
Cs4 0.000 0.000 0.500
La1 0.500 0.500 0.000
La2 0.500 0.500 0.500
La3 0.000 0.500 0.500
Pb1 0.000 0.500 0.000
O1 0.227 0.676 0.948
O2 0.227 0.676 0.455
O3 0.278 0.333 0.555
O4 0.721 0.676 0.948
O5 0.279 0.324 0.052
O6 0.722 0.667 0.445
O7 0.773 0.324 0.545
O8 0.773 0.324 0.052


Record 7
Here is TaSN after structural relaxation from Alexandria via LeMat-Bulk. Energies are from PBE.

Calculated values
The energy above the most stable polymorph in this dataset is 104.0 meV per atom. The crystal system is tetragonal. For the density of states at the Fermi level, the calculation gives 0.28 states/eV per cell. The value obtained for the volume is 78.0 Å³ per cell. For the size of the total moment, the calculation gives 0.0 μB/cell.

Cell: 3.575 3.575 6.100 Å, 90.00 90.00 90.00°
Sites, in units of the cell vectors:
Ta1 0.500 0.000 0.185
Ta2 0.000 0.500 0.815
S1 0.500 0.000 0.617
S2 0.000 0.500 0.383
N1 0.500 0.500 0.000
N2 0.000 0.000 0.000


Record 8
Here is Cd2IrBr after structural relaxation from Alexandria via LeMat-Bulk. Energies are from PBE.

Calculated values
The energy above the most stable polymorph in this dataset is 0.0 meV per atom. The crystal system is orthorhombic. For the density of states at the Fermi level, the calculation gives 1.30 states/eV per cell. The value obtained for the volume is 87.8 Å³ per cell. For the size of the total moment, the calculation gives 0.0 μB/cell.

Cell: 3.323 3.332 7.929 Å, 90.01 90.00 90.00°
Sites, in units of the cell vectors:
Ir1 0.500 0.250 0.250
Br1 0.500 0.750 0.750
Cd1 0.000 0.750 0.049
Cd2 0.000 0.750 0.451


Record 9
Here is ScTcRh2 after structural relaxation from Alexandria via LeMat-Bulk. Energies are from PBE.

Calculated values
The energy above the most stable polymorph in this dataset is 153.8 meV per atom. The crystal system is monoclinic. The value obtained for the formation energy is -0.239 eV/atom. For the density of states at the Fermi level, the calculation gives 3.87 states/eV per cell. The value obtained for the volume is 61.9 Å³ per cell. For the size of the total moment, the calculation gives 0.0 μB/cell.

Cell: 4.796 4.796 4.867 Å, 80.50 80.50 34.12°
Sites, in units of the cell vectors:
Rh1 0.002 0.002 0.986
Rh2 0.498 0.498 0.514
Sc1 0.250 0.250 0.250
Tc1 0.750 0.750 0.750


Record 10
Here is Ti2NbPbC after structural relaxation from Alexandria via LeMat-Bulk. Energies are from PBE.

Calculated values
The crystal system is tetragonal. The value obtained for the formation energy is -0.253 eV/atom. For the density of states at the Fermi level, the calculation gives 5.55 states/eV per cell. The value obtained for the volume is 80.7 Å³ per cell. For the size of the total moment, the calculation gives 0.0 μB/cell.

Cell: 4.260 4.260 4.447 Å, 90.00 90.00 90.00°
Sites, in units of the cell vectors:
Pb1 0.500 0.500 0.500
Nb1 0.000 0.000 0.500
C1 0.000 0.000 0.000
Ti1 0.000 0.500 0.000
Ti2 0.500 0.000 0.000


Record 11
Here is Sr2MgZn2 after structural relaxation from Alexandria via LeMat-Bulk. Energies are from PBE.

Calculated values
The energy above the most stable polymorph in this dataset is 2.5 meV per atom. The crystal system is orthorhombic. The value obtained for the formation energy is -0.182 eV/atom. For the density of states at the Fermi level, the calculation gives 3.52 states/eV per cell. The value obtained for the volume is 147.0 Å³ per cell. For the size of the total moment, the calculation gives 0.0 μB/cell.

Cell: 4.728 6.273 6.273 Å, 61.53 67.86 67.86°
Sites, in units of the cell vectors:
Sr1 0.705 0.795 0.295
Sr2 0.295 0.205 0.705
Mg1 0.500 0.500 0.000
Zn1 0.000 0.216 0.284
Zn2 0.000 0.784 0.716


Record 12
Here is Li2ZnSb after structural relaxation from Alexandria via LeMat-Bulk. Energies are from PBE.

Calculated values
The crystal system is monoclinic. For the density of states at the Fermi level, the calculation gives 0.75 states/eV per cell. Its electronic total energy is -0.095 Ha/atom. The value obtained for the volume is 76.1 Å³ per cell. For the size of the total moment, the calculation gives 0.0 μB/cell.

Cell: 5.074 5.074 5.012 Å, 83.58 83.58 36.45°
Sites, in units of the cell vectors:
Li1 0.007 0.007 0.976
Li2 0.246 0.246 0.250
Sb1 0.498 0.498 0.483
Zn1 0.749 0.749 0.791


Record 13
Here is AcPr2C after structural relaxation from Alexandria via LeMat-Bulk. Energies are from PBE.

Calculated values
The crystal system is trigonal. The value obtained for the formation energy is 0.053 eV/atom. For the density of states at the Fermi level, the calculation gives 4.97 states/eV per cell. The value obtained for the volume is 127.3 Å³ per cell. For the size of the total moment, the calculation gives 0.0 μB/cell.

Cell: 3.748 3.748 10.683 Å, 79.90 79.90 60.00°
Sites, in units of the cell vectors:
Pr1 0.121 0.121 0.636
Pr2 0.879 0.879 0.364
Ac1 0.000 0.000 0.000
C1 0.500 0.500 0.500


Record 14
Here is La4DyTh3Se8 after structural relaxation from Alexandria via LeMat-Bulk. Energies are from PBE.

Calculated values
The crystal system is trigonal. For the density of states at the Fermi level, the calculation gives 7.48 states/eV per cell. Its electronic total energy is -0.237 Ha/atom. The value obtained for the volume is 431.4 Å³ per cell. For the size of the total moment, the calculation gives 0.0 μB/cell.

Cell: 8.472 8.491 8.471 Å, 119.91 120.01 90.00°
Sites, in units of the cell vectors:
La1 0.500 0.000 0.000
La2 0.500 0.000 0.500
La3 0.000 0.000 0.000
La4 0.000 0.000 0.500
Dy1 0.000 0.500 0.000
Th1 0.500 0.500 0.000
Th2 0.500 0.500 0.500
Th3 0.000 0.500 0.500
Se1 0.243 0.740 0.997
Se2 0.243 0.740 0.487
Se3 0.251 0.254 0.503
Se4 0.753 0.740 0.997
Se5 0.247 0.260 0.003
Se6 0.749 0.746 0.497
Se7 0.757 0.260 0.513
Se8 0.757 0.260 0.003